1.
{"formula": "Rb2HfClF", "functional": "meta-GGA SCAN", "state": "PBEsol geometry", "spacegroup": "No. 123", "total_magnetization_mub_per_fu": 1.99, "e_form_raw_ev_per_fu": -2.4, "lattice_angstrom": [[4.9548, 0.0000, 0.0000], [0.0000, 4.9548, 0.0000], [0.0000, 0.0000, 6.6039]], "species": ["Rb", "Rb", "Hf", "Cl", "F"], "fractional_positions": [[0.0000, 0.5000, 0.0000], [0.5000, 0.0000, 0.0000], [0.0000, 0.0000, 0.5000], [0.5000, 0.5000, 0.5000], [0.5000, 0.5000, 0.0000]]}


2.
{"formula": "Na2LaHfRh", "functional": "meta-GGA SCAN", "state": "PBEsol geometry", "spacegroup": "No. 123", "total_magnetization_mub_per_fu": 1.50, "formation_enthalpy_0k_ev_per_atom": 1.18, "lattice_angstrom": [[5.4155, 0.0000, 0.0000], [0.0000, 5.4155, 0.0000], [0.0000, 0.0000, 4.7066]], "species": ["Na", "Na", "La", "Hf", "Rh"], "fractional_positions": [[0.0000, 0.5000, 0.0000], [0.5000, 0.0000, 0.0000], [0.0000, 0.0000, 0.0000], [0.5000, 0.5000, 0.5000], [0.0000, 0.0000, 0.5000]]}


3.
{"formula": "Ba2InPb", "functional": "meta-GGA SCAN", "state": "PBEsol geometry", "spacegroup": "No. 123", "total_magnetization_mub_per_fu": 0.00, "formation_enthalpy_0k_ev_per_atom": -0.63, "e_above_lowest_polymorph_mev_per_atom": 78, "lattice_angstrom": [[5.9183, 0.0000, 0.0000], [0.0000, 5.9183, 0.0000], [0.0000, 0.0000, 4.2476]], "species": ["Ba", "Ba", "In", "Pb"], "fractional_positions": [[0.0000, 0.5000, 0.0000], [0.5000, 0.0000, 0.0000], [0.0000, 0.0000, 0.5000], [0.5000, 0.5000, 0.5000]]}


4.
{"formula": "TbVB4", "functional": "meta-GGA SCAN", "state": "PBEsol geometry", "spacegroup": "No. 55", "total_magnetization_mub_per_fu": 0.00, "formation_enthalpy_0k_ev_per_atom": -0.76, "lattice_angstrom": [[5.9831, 0.0000, 0.0000], [0.0000, 11.5883, 0.0000], [0.0000, 0.0000, 3.4091]], "species": ["Tb", "Tb", "Tb", "Tb", "V", "V", "V", "V", "B", "B", "B", "B", "B", "B", "B", "B", "B", "B", "B", "B", "B", "B", "B", "B"], "fractional_positions": [[0.1241, 0.1515, 0.0000], [0.3759, 0.6515, 0.0000], [0.6241, 0.3485, 0.0000], [0.8759, 0.8485, 0.0000], [0.1270, 0.4171, 0.0000], [0.3730, 0.9171, 0.0000], [0.6270, 0.0829, 0.0000], [0.8730, 0.5829, 0.0000], [0.0232, 0.6920, 0.5000], [0.1145, 0.5473, 0.5000], [0.1360, 0.9672, 0.5000], [0.2148, 0.8144, 0.5000], [0.2852, 0.3144, 0.5000], [0.3640, 0.4672, 0.5000], [0.3855, 0.0473, 0.5000], [0.4768, 0.1920, 0.5000], [0.5232, 0.8080, 0.5000], [0.6145, 0.9527, 0.5000], [0.6360, 0.5328, 0.5000], [0.7148, 0.6856, 0.5000], [0.7852, 0.1856, 0.5000], [0.8640, 0.0328, 0.5000], [0.8855, 0.4527, 0.5000], [0.9768, 0.3080, 0.5000]]}


Copy entry 4 word for word.
{"formula": "TbVB4", "functional": "meta-GGA SCAN", "state": "PBEsol geometry", "spacegroup": "No. 55", "total_magnetization_mub_per_fu": 0.00, "formation_enthalpy_0k_ev_per_atom": -0.76, "lattice_angstrom": [[5.9831, 0.0000, 0.0000], [0.0000, 11.5883, 0.0000], [0.0000, 0.0000, 3.4091]], "species": ["Tb", "Tb", "Tb", "Tb", "V", "V", "V", "V", "B", "B", "B", "B", "B", "B", "B", "B", "B", "B", "B", "B", "B", "B", "B", "B"], "fractional_positions": [[0.1241, 0.1515, 0.0000], [0.3759, 0.6515, 0.0000], [0.6241, 0.3485, 0.0000], [0.8759, 0.8485, 0.0000], [0.1270, 0.4171, 0.0000], [0.3730, 0.9171, 0.0000], [0.6270, 0.0829, 0.0000], [0.8730, 0.5829, 0.0000], [0.0232, 0.6920, 0.5000], [0.1145, 0.5473, 0.5000], [0.1360, 0.9672, 0.5000], [0.2148, 0.8144, 0.5000], [0.2852, 0.3144, 0.5000], [0.3640, 0.4672, 0.5000], [0.3855, 0.0473, 0.5000], [0.4768, 0.1920, 0.5000], [0.5232, 0.8080, 0.5000], [0.6145, 0.9527, 0.5000], [0.6360, 0.5328, 0.5000], [0.7148, 0.6856, 0.5000], [0.7852, 0.1856, 0.5000], [0.8640, 0.0328, 0.5000], [0.8855, 0.4527, 0.5000], [0.9768, 0.3080, 0.5000]]}